A relaxed structure of In2MoO6, computed with PBE+U.

Output
total magnetization: 0.000 μB per cell
calculated volume: 231.40 Å³ per cell
crystal system: tetragonal
calculated total energy: -6.215 eV per atom
SG: P4_2/mnm

a = 4.8868 Å, b = 4.8868 Å, c = 9.6899 Å
α = 90.00°, β = 90.00°, γ = 90.00°
With the nearest neighbours (Å) after each atom.
Positions (direct):
In (0.0000, 0.0000, 0.1645)  6 O 2.16-2.22
In (0.0000, 0.0000, 0.8355)  6 O 2.16-2.22
In (0.5000, 0.5000, 0.3355)  6 O 2.16-2.22
In (0.5000, 0.5000, 0.6645)  6 O 2.16-2.22
Mo (0.0000, 0.0000, 0.5000)  6 O 1.95-1.96
Mo (0.5000, 0.5000, 0.0000)  6 O 1.95-1.96
O (0.1877, 0.1877, 0.3498)  1 Mo 1.95, 1 In 2.16
O (0.1877, 0.1877, 0.6502)  1 Mo 1.95, 1 In 2.16
O (0.2160, 0.2160, 0.0000)  1 Mo 1.96, 2 In 2.18
O (0.2840, 0.7160, 0.5000)  1 Mo 1.96, 2 In 2.18
O (0.3123, 0.6877, 0.1502)  1 Mo 1.95, 1 In 2.16
O (0.3123, 0.6877, 0.8498)  1 Mo 1.95, 1 In 2.16
O (0.6877, 0.3123, 0.1502)  1 Mo 1.95, 1 In 2.16
O (0.6877, 0.3123, 0.8498)  1 Mo 1.95, 1 In 2.16
O (0.7160, 0.2840, 0.5000)  1 Mo 1.96, 2 In 2.18
O (0.7840, 0.7840, 0.0000)  1 Mo 1.96, 2 In 2.18
O (0.8123, 0.8123, 0.3498)  1 Mo 1.95, 1 In 2.16
O (0.8123, 0.8123, 0.6502)  1 Mo 1.95, 1 In 2.16